Density functional theory data (PBE) for a relaxed structure of CsCa3Mg.

Cell lengths 6.386, 6.386, 6.386 Å; angles 90.00, 90.00, 90.00 degrees
Atoms (fractional coordinates):
Cs: 0.500 0.500 0.500
Ca: 0.000 0.500 0.000
Ca: 0.000 0.000 0.500
Ca: 0.500 0.000 0.000
Mg: 0.000 0.000 0.000

Output
Space group: Pm-3m (221)
ΔE_f, meV per atom: 262
DFT total energy, eV/atom: -1.4288
Fermi-level density of states, states/eV/atom: 1.17


Density functional theory data (PBE) for a relaxed structure of TeMoBr2.

Cell lengths 3.729, 7.418, 7.420 Å; angles 42.20, 90.00, 90.00 degrees
Site moments in Bohr magnetons follow the coordinates.
Atoms (fractional coordinates):
Br: 0.000 0.383 0.383  0.04
Br: 0.000 0.117 0.117  0.04
Te: 0.500 0.750 0.750  -0.16
Mo: 0.500 0.250 0.250  1.71

Output
E_form (uncorrected), eV per atom: -0.145
Space group: Cmmm (65)
DFT total energy, eV/atom: -4.4743
Fermi-level density of states, states/eV/atom: 0.44


Density functional theory data (PBE) for a relaxed structure of CuTe2.

Cell lengths 3.403, 3.403, 25.707 Å; angles 90.00, 90.00, 120.00 degrees
Atoms (fractional coordinates):
Te: 0.667 0.333 0.427
Te: 0.333 0.667 0.745
Te: 0.000 0.000 0.910
Te: 0.000 0.000 0.090
Te: 0.667 0.333 0.255
Te: 0.333 0.667 0.573
Cu: 0.333 0.667 0.843
Cu: 0.000 0.000 0.500
Cu: 0.667 0.333 0.157

Output
E_form (uncorrected), eV per atom: 0.152
Space group: P-3m1 (164)
DFT total energy, eV/atom: -3.3076
Fermi-level density of states, states/eV/atom: 0.70


Density functional theory data (PBE) for a relaxed structure of Ac3Al2InHg6.

Cell lengths 6.723, 6.723, 9.037 Å; angles 90.00, 90.00, 120.00 degrees
Atoms (fractional coordinates):
Hg: 0.182 0.363 0.276
Hg: 0.818 0.182 0.724
Hg: 0.818 0.637 0.724
Hg: 0.637 0.818 0.276
Hg: 0.182 0.818 0.276
Hg: 0.363 0.182 0.724
Al: 0.667 0.333 0.973
Al: 0.333 0.667 0.027
Ac: 0.000 0.000 0.000
Ac: 0.333 0.667 0.645
Ac: 0.667 0.333 0.355
In: 0.000 0.000 0.500

Output
Space group: P-3m1 (164)
ΔE_f, meV per atom: -165
DFT total energy, eV/atom: -2.1950
Fermi-level density of states, states/eV/atom: 0.74